Here is a geometry-optimized Ga2AgSb2 structure from the Alexandria database. Energies are from GGA-PBE.

a b c (Å): 5.470 5.470 8.040
angles (deg): 90.00 90.00 90.00
Space group I4/mmm (No. 139)
Inequivalent atoms, fractional coordinates:
Ga (0.000, 0.000, 0.155) x4
Ag (0.000, 0.000, 0.500) x2
Sb (0.000, 0.500, 0.250) x4

Values from the calculation:
For the formation energy (no corrections), the calculation gives 89 kJ/mol of formula units. The relative energy among the computed polymorphs is 0.030 eV per atom.